# CaInIr2 PBE-GGA relaxed
data_CaInIr2
_cell_length_a 2.950
_cell_length_b 4.278
_cell_length_c 5.817
_cell_angle_alpha 90.00
_cell_angle_beta 90.00
_cell_angle_gamma 90.00
_symmetry_space_group_name_H-M 'P m m 2'
_symmetry_Int_Tables_number 25
loop_
_symmetry_equiv_pos_as_xyz
'x,y,z'
'-x,-y,z'
'-x,y,z'
'x,-y,z'
loop_
_atom_site_label
_atom_site_type_symbol
_atom_site_fract_x
_atom_site_fract_y
_atom_site_fract_z
Ca1 Ca 0.000 0.000 0.000
In1 In 0.500 0.500 0.300
Ir1 Ir 0.000 0.000 0.521
Ir2 Ir 0.500 0.500 0.762
# spin magnetization = 0.000 μB per atom
# energy = -5.58 eV/atom

=====

# PuHfSc2 PBE-GGA relaxed
data_PuHfSc2
_cell_length_a 9.157
_cell_length_b 4.547
_cell_length_c 9.022
_cell_angle_alpha 90.00
_cell_angle_beta 90.00
_cell_angle_gamma 90.00
_symmetry_space_group_name_H-M 'P n m a'
_symmetry_Int_Tables_number 62
loop_
_symmetry_equiv_pos_as_xyz
'x,y,z'
'-x,-y,-z'
'-x+1/2,-y,z+1/2'
'x+1/2,y,-z+1/2'
'x+1/2,-y+1/2,-z+1/2'
'-x+1/2,y+1/2,z+1/2'
'-x,y+1/2,-z'
'x,-y+1/2,z'
loop_
_atom_site_label
_atom_site_type_symbol
_atom_site_fract_x
_atom_site_fract_y
_atom_site_fract_z
Pu1 Pu 0.124 0.250 0.000
Hf1 Hf 0.127 0.750 0.247
Sc1 Sc 0.126 0.250 0.499
Sc2 Sc 0.127 0.750 0.752
# spin magnetization = 1.334 μB per atom
# energy = -9.16 eV/atom

=====

> Look up the energy of the second one.

-9.16 eV/atom

=====

> Number 2 is which compound?

PuHfSc2

=====

Repeat the first record exactly.
# CaInIr2 PBE-GGA relaxed
data_CaInIr2
_cell_length_a 2.950
_cell_length_b 4.278
_cell_length_c 5.817
_cell_angle_alpha 90.00
_cell_angle_beta 90.00
_cell_angle_gamma 90.00
_symmetry_space_group_name_H-M 'P m m 2'
_symmetry_Int_Tables_number 25
loop_
_symmetry_equiv_pos_as_xyz
'x,y,z'
'-x,-y,z'
'-x,y,z'
'x,-y,z'
loop_
_atom_site_label
_atom_site_type_symbol
_atom_site_fract_x
_atom_site_fract_y
_atom_site_fract_z
Ca1 Ca 0.000 0.000 0.000
In1 In 0.500 0.500 0.300
Ir1 Ir 0.000 0.000 0.521
Ir2 Ir 0.500 0.500 0.762
# spin magnetization = 0.000 μB per atom
# energy = -5.58 eV/atom

=====

> What is the energy in the first record?

-5.58 eV/atom